## LiCePmAu (PBE)

Data for an optimized crystal structure of LiCePmAu.

The structure in POSCAR format:
```
LiCePmAu
1.0
5.230 0.000 0.000
2.615 4.529 0.000
2.615 1.510 4.270
Pm Li Au Ce
1 1 1 1
Direct
0.250 0.250 0.250
0.500 0.500 0.500
0.000 0.000 0.000
0.750 0.750 0.750
```

Values from the calculation:
Final energy   -16.8 eV per cell
Volume   25.282 Å³ per atom
Energy relative to the elements   -235 meV/atom
Symmetry   F-43m, No. 216